(1)
{
  "formula": "Tb3Dy2Ni2",
  "functional": "GGA-PBE",
  "state": "relaxed",
  "energy_ev_per_atom": -5.20,
  "m_tot_mub_per_fu": 0.00,
  "vol_a3_per_cell": 176.2,
  "delta_e_f_ev_per_atom": -0.246,
  "dos_ef_per_ev_fu": 9.63,
  "lattice_angstrom": [[6.054, -1.813, 0.000], [6.054, 1.813, 0.000], [-3.957, 0.000, 8.026]],
  "species": ["Tb", "Tb", "Tb", "Dy", "Dy", "Ni", "Ni"],
  "fractional_positions": [[0.000, 0.000, 0.000], [0.115, 0.115, 0.433], [0.885, 0.885, 0.567], [0.333, 0.333, 0.189], [0.667, 0.667, 0.811], [0.327, 0.327, 0.763], [0.673, 0.673, 0.237]]
}

=====

(2)
{
  "formula": "La2NdBr",
  "functional": "GGA-PBE",
  "state": "relaxed",
  "energy_ev_per_atom": -4.67,
  "m_tot_mub_per_fu": 0.00,
  "vol_a3_per_cell": 134.7,
  "dos_ef_per_ev_fu": 3.31,
  "e_form_raw_ev_per_atom": -0.59,
  "lattice_angstrom": [[1.901, 1.098, 10.755], [-1.901, 1.098, 10.755], [0.000, -2.196, 10.755]],
  "species": ["La", "La", "Nd", "Br"],
  "fractional_positions": [[0.242, 0.242, 0.242], [0.758, 0.758, 0.758], [0.000, 0.000, 0.000], [0.500, 0.500, 0.500]]
}

=====

(3)
{
  "formula": "OsPbSe2",
  "functional": "GGA-PBE",
  "state": "relaxed",
  "energy_ev_per_atom": -4.76,
  "m_tot_mub_per_fu": 0.00,
  "vol_a3_per_cell": 80.3,
  "dos_ef_per_ev_fu": 2.26,
  "e_form_raw_ev_per_atom": 0.72,
  "lattice_angstrom": [[4.965, 0.000, 0.000], [0.000, 4.965, 0.000], [0.000, 0.000, 3.259]],
  "species": ["Os", "Pb", "Se", "Se"],
  "fractional_positions": [[0.000, 0.000, 0.000], [0.500, 0.500, 0.000], [0.000, 0.500, 0.500], [0.500, 0.000, 0.500]]
}